Below is Rb2GeHCl after structural relaxation, with properties calculated at the GGA-PBE level.

Cell and atoms, written as POSCAR:
```
Rb2GeHCl
1.0
6.0514 0.0000 0.0000
0.0000 4.0249 0.0000
0.0000 0.0000 6.0514
H Ge Rb Cl
1 1 2 1
direct
0.0000 0.0000 0.0000
0.0000 0.5000 0.0000
0.0000 0.0000 0.5000
0.5000 0.0000 0.0000
0.5000 0.5000 0.5000
```

Properties
The energy comes out at -2.8014 eV per atom. As for the symmetry: P4/mmm, No. 123. The total magnetization comes out at 0.400 μB per atom.

---

Below is RbGeH2Cl8 after structural relaxation, with properties calculated at the GGA-PBE level.

Cell and atoms, written as POSCAR:
```
RbGeH2Cl8
1.0
-3.5879 5.1384 -0.4855
-4.8550 -0.1374 6.4164
2.9748 2.7474 8.2831
Rb Ge H Cl
1 1 2 8
direct
0.0000 0.0000 0.5000
0.0000 0.0000 0.0000
0.7104 0.5459 0.6666
0.2896 0.4541 0.3334
0.1152 0.7440 0.2928
0.6919 0.8852 0.9901
0.8131 0.2265 0.0687
0.8848 0.2560 0.7072
0.3081 0.1148 0.0099
0.1869 0.7735 0.9313
0.6122 0.7336 0.6306
0.3878 0.2664 0.3694
```

Properties
The energy comes out at -3.0271 eV per atom. As for the symmetry: P-1, No. 2. The total magnetization comes out at 0.080 μB per atom.

---

Below is GeHRhCl2 after structural relaxation, with properties calculated at the GGA-PBE level.

Cell and atoms, written as POSCAR:
```
GeHRhCl2
1.0
4.9381 0.0000 0.0000
0.0000 3.3679 0.0000
0.0000 0.0000 4.9381
H Ge Rh Cl
1 1 1 2
direct
0.0000 0.0000 0.0000
0.0000 0.5000 0.0000
0.5000 0.5000 0.5000
0.0000 0.0000 0.5000
0.5000 0.0000 0.0000
```

Properties
The energy comes out at -3.3204 eV per atom. As for the symmetry: P4/mmm, No. 123. The total magnetization comes out at 0.313 μB per atom.

---

Below is GeH2SCl after structural relaxation, with properties calculated at the GGA-PBE level.

Cell and atoms, written as POSCAR:
```
GeH2SCl
1.0
-1.3043 -0.4784 -3.2970
-6.3477 -2.6972 2.9026
-1.3740 3.3028 0.0643
H Ge S Cl
2 1 1 1
direct
0.0000 0.0000 0.5000
0.5000 0.0000 0.0000
0.5000 0.5000 0.5000
0.0000 0.0000 0.0000
0.0000 0.5000 0.0000
```

Properties
The energy comes out at -3.1047 eV per atom. As for the symmetry: P4/mmm, No. 123. The total magnetization comes out at 0.171 μB per atom.

---

Below is GeH3SCl3 after structural relaxation, with properties calculated at the GGA-PBE level.

Cell and atoms, written as POSCAR:
```
GeH3SCl3
1.0
5.0946 -0.0011 0.1061
-2.5422 6.9753 -0.0147
1.6452 0.2809 10.9341
Ge Cl S H
2 6 2 6
direct
0.9706 0.0340 0.6503
0.8858 0.9494 0.1691
0.5498 0.7768 0.6268
0.7057 0.1942 0.1391
0.4288 0.7088 0.2468
0.7369 0.2510 0.7345
0.8946 0.8502 0.9629
0.0592 0.1459 0.4453
0.2445 0.5168 0.8999
0.7131 0.4468 0.4094
0.3922 0.6271 0.7926
0.0270 0.4019 0.8378
0.1036 0.6460 0.9366
0.9842 0.5667 0.3656
0.7114 0.3300 0.3077
0.5924 0.5585 0.3530
```

Properties
The relative energy among the computed polymorphs comes out at 0.05 eV/f.u. The energy comes out at -3.5467 eV per atom. As for the symmetry: P1, No. 1. The total magnetization comes out at 0.000 μB per atom.

---

Below is GeH3SCl3 after structural relaxation, with properties calculated at the GGA-PBE level.

Cell and atoms, written as POSCAR:
```
GeH3SCl3
1.0
5.6631 0.1754 0.0507
0.3213 5.7375 0.3994
0.1112 0.7706 6.0205
Ge Cl S H
1 3 1 3
direct
0.5246 0.4620 0.4231
0.5188 0.8732 0.3683
0.9530 0.3866 0.4268
0.4954 0.3956 0.8272
0.0220 0.0367 0.0336
0.9959 0.1636 0.2121
0.1934 0.1785 0.9261
0.8344 0.1738 0.9195
```

Properties
The relative energy among the computed polymorphs comes out at 0.00 eV/f.u. The energy comes out at -3.5525 eV per atom. As for the symmetry: P1, No. 1. The total magnetization comes out at 0.000 μB per atom.

---

Below is GeHSe2Cl after structural relaxation, with properties calculated at the GGA-PBE level.

Cell and atoms, written as POSCAR:
```
GeHSe2Cl
1.0
-0.0274 -2.2475 -3.3346
-4.1554 -3.3063 2.2626
-2.7911 2.4113 -1.6023
H Ge Se Cl
1 1 2 1
direct
0.0000 0.0000 0.0000
0.0000 0.5000 0.0000
0.0000 0.0000 0.5000
0.5000 0.0000 0.0000
0.5000 0.5000 0.5000
```

Properties
The energy comes out at -3.0610 eV per atom. As for the symmetry: P4/mmm, No. 123. The total magnetization comes out at 0.000 μB per atom.

---

Below is SrGe2HCl after structural relaxation, with properties calculated at the GGA-PBE level.

Cell and atoms, written as POSCAR:
```
SrGe2HCl
1.0
-2.5210 -2.9672 -1.2420
4.7796 -4.3045 0.5821
-1.0952 -0.6919 3.8761
Sr Ge H Cl
1 2 1 1
direct
0.0000 0.5000 0.0000
0.0000 0.0000 0.5000
0.5000 0.0000 0.0000
0.0000 0.0000 0.0000
0.5000 0.5000 0.5000
```

Properties
The energy comes out at -3.6186 eV per atom. As for the symmetry: P4/mmm, No. 123. The total magnetization comes out at 0.000 μB per atom.